## Ba4SiGeS8 (GGA-PBE)

Data for a relaxed Ba4SiGeS8 crystal.

```
Ba4SiGeS8
1.0
6.857 0.000 0.000
0.000 12.588 0.000
0.000 0.000 9.014
Ba Si Ge S
8 2 2 16
Cartesian
0.000 1.002 0.000
0.000 3.993 3.235
0.000 8.595 7.742
0.000 11.586 4.507
3.428 2.116 5.523
3.428 5.271 8.725
3.428 7.317 4.218
3.428 10.472 1.016
3.428 2.182 1.911
3.428 10.406 6.418
0.000 4.094 6.821
0.000 8.494 2.314
0.000 1.988 6.036
0.000 4.301 0.008
0.000 8.287 4.515
0.000 10.599 1.529
1.699 1.263 2.739
1.699 11.324 7.246
1.823 4.959 5.920
1.823 7.629 1.413
3.428 2.005 8.806
3.428 4.190 2.654
3.428 8.397 7.161
3.428 10.582 4.299
5.034 4.959 5.920
5.034 7.629 1.413
5.158 1.263 2.739
5.158 11.324 7.246
```

ΔE_f (raw): -1.524 eV/atom
raw total energy: -0.37847 Ry per atom